6
Lattice="0.000 4.215 4.215 4.215 0.000 4.215 4.215 4.215 0.000" Properties=species:S:1:pos:R:3 comment="TcSb4Ru PBE optimized geometry" sg="F-43m, No. 216" e_form_raw_kj_per_mol_atoms=128 total_magnetization_mub_per_fu=1.416 pbc="T T T"
Tc 0.000 0.000 0.000
Sb 3.164 3.164 3.164
Sb 5.266 5.266 3.164
Sb 5.266 3.164 5.266
Sb 3.164 5.266 5.266
Ru 6.323 6.323 6.323